Dy6Cu5Os, optimized geometry, DFT PBE-GGA; crystal system = orthorhombic
1.0
4.716 -0.004 -1.322
-3.527 6.840 -3.530
-0.187 -0.979 8.408
Os Cu Dy
1 5 6
Direct
0.000 0.000 0.000
0.500 0.167 0.833
0.000 0.334 0.666
0.500 0.500 0.500
0.000 0.666 0.334
0.500 0.833 0.167
0.245 0.082 0.409
0.755 0.591 0.918
0.742 0.243 0.243
0.258 0.757 0.757
0.245 0.409 0.082
0.755 0.918 0.591



Dy2CuOs, optimized geometry, DFT PBE-GGA; energy relative to the lowest polymorph listed for this composition = 0 meV/atom; crystal system = cubic
1.0
4.851 0.000 0.000
2.426 4.201 0.000
2.426 1.400 3.961
Os Cu Dy
1 1 2
Direct
0.000 0.000 0.000
0.500 0.500 0.500
0.750 0.750 0.750
0.250 0.250 0.250



Dy8Cu2Os, optimized geometry, DFT PBE-GGA; energy relative to the lowest polymorph listed for this composition = 0 meV/atom; crystal system = monoclinic
1.0
-0.879 -3.060 -3.968
-0.008 -5.315 4.101
-7.648 4.428 1.540
Dy Cu Os
8 2 1
Direct
0.409 0.560 0.819
0.667 0.977 0.334
0.802 0.680 0.604
0.968 0.204 0.936
0.198 0.320 0.396
0.333 0.023 0.666
0.591 0.440 0.181
0.032 0.796 0.064
0.816 0.283 0.633
0.184 0.717 0.367
0.500 0.000 0.000



DyCu4Os, optimized geometry, DFT PBE-GGA; crystal system = cubic
1.0
4.964 0.000 0.000
2.482 4.299 0.000
2.482 1.433 4.053
Os Cu Dy
1 4 1
Direct
0.250 0.250 0.250
0.624 0.624 0.128
0.624 0.128 0.624
0.624 0.624 0.624
0.128 0.624 0.624
0.000 0.000 0.000



DyCuOs, optimized geometry, DFT PBE-GGA; energy relative to the lowest polymorph listed for this composition = 0 meV/atom; crystal system = orthorhombic
1.0
-1.380 -0.757 4.925
-4.644 -2.420 1.041
-0.217 -4.990 1.886
Dy Cu Os
2 2 2
Direct
0.880 0.370 0.370
0.120 0.630 0.630
0.500 0.500 0.000
0.500 0.000 0.500
0.000 0.000 0.000
0.500 0.000 0.000



DyCuOs, optimized geometry, DFT PBE-GGA; energy relative to the lowest polymorph listed for this composition = 342 meV/atom; crystal system = monoclinic
1.0
4.860 0.117 -0.874
-2.004 4.429 0.874
-2.943 -1.322 5.448
Dy Cu Os
2 2 2
Direct
0.254 0.653 0.907
0.746 0.347 0.093
0.000 0.000 0.500
0.500 0.500 0.500
0.243 0.993 0.236
0.757 0.007 0.764



Dy2CuOs, optimized geometry, DFT PBE-GGA; energy relative to the lowest polymorph listed for this composition = 15 meV/atom; crystal system = tetragonal
1.0
-2.041 2.297 1.476
-1.653 -2.506 1.615
4.500 0.521 5.412
Os Cu Dy
1 1 2
Direct
0.500 0.500 0.000
0.500 0.500 0.500
0.000 0.000 0.762
0.000 0.000 0.238



Dy8Cu2Os, optimized geometry, DFT PBE-GGA; energy relative to the lowest polymorph listed for this composition = 118 meV/atom; crystal system = monoclinic
1.0
-4.794 -0.881 3.306
0.446 -6.726 -3.813
5.380 1.169 5.447
Dy Cu Os
8 2 1
Direct
0.585 0.338 0.090
0.585 0.090 0.338
0.177 0.362 0.362
0.989 0.206 0.797
0.989 0.797 0.206
0.806 0.643 0.643
0.368 0.914 0.666
0.368 0.666 0.914
0.493 0.703 0.311
0.493 0.311 0.703
0.148 0.004 0.004



Number 1: formation energy from the elements -3.1 eV per formula unit. Number 2: formation energy from the elements -1.0 eV per formula unit. Number 3: formation energy from the elements -1.7 eV per formula unit. Number 4: formation energy from the elements 0.1 eV per formula unit. Number 5: formation energy from the elements -0.8 eV per formula unit. Number 6: formation energy from the elements 0.2 eV per formula unit. Number 7: formation energy from the elements -1.0 eV per formula unit. Number 8: formation energy from the elements -0.4 eV per formula unit.